# 1
Below is TbPm2TlN after structural relaxation, with properties calculated at the PBE level.

Total magnetization: 0.00 μB per cell
ΔE_f (raw): -0.87 eV/atom
N(E_F): 2.39 states/eV/f.u.
Total DFT energy (no corrections): -5.8359 eV per atom

a = 4.9945 Å, b = 4.9945 Å, c = 4.8561 Å
α = 90.00°, β = 90.00°, γ = 90.00°
Closest atoms and distances in Å follow each position.
Element x y z (fractional)
Tb 0.0000 0.0000 0.0000  2 N 2.43
Pm 0.0000 0.5000 0.5000  2 N 2.50
Pm 0.5000 0.0000 0.5000  2 N 2.50
Tl 0.5000 0.5000 0.0000  8 Pm 3.48, 4 Tb 3.53
N 0.0000 0.0000 0.5000  2 Tb 2.43, 4 Pm 2.50

# 2
Below is Tb3Pm4UN8 after structural relaxation, with properties calculated at the PBE level.

Total magnetization: 0.86 μB per cell
ΔE_f (raw): -1.53 eV/atom
N(E_F): 9.33 states/eV/f.u.
Total DFT energy (no corrections): -8.4588 eV per atom

a = 7.0908 Å, b = 7.0908 Å, c = 7.0908 Å
α = 59.72°, β = 59.72°, γ = 59.72°
Closest atoms and distances in Å follow each position.
Element x y z (fractional)
Tb 0.0000 0.5000 0.5000  6 N 2.47-2.48
Tb 0.5000 0.0000 0.5000  6 N 2.47-2.48
Tb 0.5000 0.5000 0.0000  6 N 2.47-2.48
Pm 0.0000 0.0000 0.5000  6 N 2.53-2.54
Pm 0.0000 0.5000 0.0000  6 N 2.53-2.54
Pm 0.5000 0.0000 0.0000  6 N 2.53-2.54
Pm 0.5000 0.5000 0.5000  6 N 2.67
U 0.0000 0.0000 0.0000  6 N 2.33
N 0.2330 0.2330 0.7609  1 U 2.33, 2 Tb 2.48, 2 Pm 2.54
N 0.2330 0.7609 0.2330  1 U 2.33, 2 Tb 2.48, 2 Pm 2.54
N 0.2391 0.7670 0.7670  1 U 2.33, 2 Tb 2.48, 2 Pm 2.54
N 0.2529 0.2529 0.2529  3 Tb 2.47, 3 Pm 2.53
N 0.7471 0.7471 0.7471  3 Tb 2.47, 3 Pm 2.53
N 0.7609 0.2330 0.2330  1 U 2.33, 2 Tb 2.48, 2 Pm 2.54
N 0.7670 0.2391 0.7670  1 U 2.33, 2 Tb 2.48, 2 Pm 2.54
N 0.7670 0.7670 0.2391  1 U 2.33, 2 Tb 2.48, 2 Pm 2.54

# 3
Below is Tb2PmUN4 after structural relaxation, with properties calculated at the PBE level.

Total magnetization: 1.25 μB per cell
ΔE_f (raw): -1.53 eV/atom
N(E_F): 5.72 states/eV/f.u.
Total DFT energy (no corrections): -8.8581 eV per atom

a = 6.0656 Å, b = 6.0656 Å, c = 6.0656 Å
α = 131.74°, β = 131.74°, γ = 70.64°
Closest atoms and distances in Å follow each position.
Element x y z (fractional)
Tb 0.0000 0.0000 0.0000  6 N 2.48-2.71
Tb 0.7500 0.2500 0.5000  6 N 2.43-2.49
Pm 0.2500 0.7500 0.5000  6 N 2.49-2.51
U 0.5000 0.5000 0.0000  6 N 2.24-2.48
N 0.2738 0.2738 0.0000  1 U 2.24, 2 Tb 2.49, 2 Pm 2.49
N 0.5041 0.0041 0.5000  3 Tb 2.43-2.48, 2 U 2.48, 1 Pm 2.51
N 0.7262 0.7262 0.0000  1 U 2.24, 2 Tb 2.49, 2 Pm 2.49
N 0.9959 0.4959 0.5000  3 Tb 2.43-2.48, 2 U 2.48, 1 Pm 2.51

# 4
Below is TbPm4U3N8 after structural relaxation, with properties calculated at the PBE level.

Total magnetization: 1.75 μB per cell
ΔE_f (raw): -1.47 eV/atom
N(E_F): 12.91 states/eV/f.u.
Total DFT energy (no corrections): -9.2293 eV per atom

a = 7.0549 Å, b = 7.0549 Å, c = 7.0549 Å
α = 59.59°, β = 59.59°, γ = 59.59°
Closest atoms and distances in Å follow each position.
Element x y z (fractional)
Tb 0.0000 0.0000 0.0000  6 N 2.46
Pm 0.0000 0.0000 0.5000  6 N 2.61-2.65
Pm 0.0000 0.5000 0.0000  6 N 2.61-2.65
Pm 0.5000 0.0000 0.0000  6 N 2.61-2.65
Pm 0.5000 0.5000 0.5000  6 N 2.53
U 0.0000 0.5000 0.5000  6 N 2.34-2.37
U 0.5000 0.0000 0.5000  6 N 2.34-2.37
U 0.5000 0.5000 0.0000  6 N 2.34-2.37
N 0.2464 0.2464 0.7223  2 U 2.34, 1 Tb 2.46, 1 Pm 2.53
N 0.2464 0.7223 0.2464  2 U 2.34, 1 Tb 2.46, 1 Pm 2.53
N 0.2621 0.2621 0.2621  3 U 2.37, 3 Pm 2.61
N 0.2777 0.7536 0.7536  2 U 2.34, 1 Tb 2.46, 1 Pm 2.53
N 0.7223 0.2464 0.2464  2 U 2.34, 1 Tb 2.46, 1 Pm 2.53
N 0.7379 0.7379 0.7379  3 U 2.37, 3 Pm 2.61
N 0.7536 0.2777 0.7536  2 U 2.34, 1 Tb 2.46, 1 Pm 2.53
N 0.7536 0.7536 0.2777  2 U 2.34, 1 Tb 2.46, 1 Pm 2.53

# 5
Below is Tb2PmVN4 after structural relaxation, with properties calculated at the PBE level.

Total magnetization: 0.01 μB per cell
ΔE_f (raw): -1.34 eV/atom
N(E_F): 3.22 states/eV/f.u.
Total DFT energy (no corrections): -8.3892 eV per atom

a = 6.1106 Å, b = 6.1106 Å, c = 11.8315 Å
α = 90.00°, β = 90.00°, γ = 147.75°
Closest atoms and distances in Å follow each position.
Element x y z (fractional)
Tb 0.1299 0.8701 0.5425  6 N 2.34-2.54
Tb 0.1299 0.8701 0.9575  6 N 2.34-2.54
Tb 0.8701 0.1299 0.0425  6 N 2.34-2.54
Tb 0.8701 0.1299 0.4575  6 N 2.34-2.54
Pm 0.4148 0.5852 0.7500  6 N 2.54-2.84
Pm 0.5852 0.4148 0.2500  6 N 2.54-2.84
V 0.3255 0.6745 0.2500  2 N 1.80
V 0.6745 0.3255 0.7500  2 N 1.80
N 0.0758 0.9242 0.7500  2 V 2.05
N 0.2348 0.7652 0.1271  1 V 1.80
N 0.2348 0.7652 0.3729  1 V 1.80
N 0.5000 0.5000 0.0000  4 Tb 2.34
N 0.5000 0.5000 0.5000  4 Tb 2.34
N 0.7652 0.2348 0.6271  1 V 1.80
N 0.7652 0.2348 0.8729  1 V 1.80
N 0.9242 0.0758 0.2500  2 V 2.05

# 6
Below is TbPm2YN4 after structural relaxation, with properties calculated at the PBE level.

Total magnetization: 0.00 μB per cell
ΔE_f (raw): -1.55 eV/atom
N(E_F): 0.24 states/eV/f.u.
Total DFT energy (no corrections): -8.2846 eV per atom

a = 6.1498 Å, b = 3.5525 Å, c = 6.1533 Å
α = 90.00°, β = 109.42°, γ = 90.00°
Closest atoms and distances in Å follow each position.
Element x y z (fractional)
Tb 0.0000 0.0000 0.0000  6 N 2.49
Pm 0.0000 0.5000 0.5000  6 N 2.54
Pm 0.5000 0.0000 0.5000  6 N 2.53-2.54
Y 0.5000 0.5000 0.0000  6 N 2.49
N 0.2478 0.5000 0.2428  1 Y 2.49, 2 Tb 2.49, 3 Pm 2.54
N 0.2527 0.0000 0.7574  1 Tb 2.49, 2 Y 2.49, 3 Pm 2.53-2.54
N 0.7473 0.0000 0.2426  1 Tb 2.49, 2 Y 2.49, 3 Pm 2.53-2.54
N 0.7522 0.5000 0.7572  1 Y 2.49, 2 Tb 2.49, 3 Pm 2.54

# 7
Below is Tb2PmYN4 after structural relaxation, with properties calculated at the PBE level.

Total magnetization: 0.00 μB per cell
ΔE_f (raw): -1.60 eV/atom
N(E_F): 0.23 states/eV/f.u.
Total DFT energy (no corrections): -8.3258 eV per atom

a = 6.1020 Å, b = 3.5243 Å, c = 6.1022 Å
α = 90.00°, β = 109.43°, γ = 90.00°
Closest atoms and distances in Å follow each position.
Element x y z (fractional)
Tb 0.0000 0.0000 0.0000  6 N 2.47
Tb 0.0000 0.5000 0.5000  6 N 2.49
Pm 0.5000 0.0000 0.5000  6 N 2.51-2.52
Y 0.5000 0.5000 0.0000  6 N 2.49
N 0.2454 0.5000 0.2450  3 Tb 2.47-2.49, 1 Y 2.49, 2 Pm 2.52
N 0.2479 0.0000 0.7526  3 Tb 2.47-2.49, 2 Y 2.49, 1 Pm 2.51
N 0.7521 0.0000 0.2474  3 Tb 2.47-2.49, 2 Y 2.49, 1 Pm 2.51
N 0.7546 0.5000 0.7550  3 Tb 2.47-2.49, 1 Y 2.49, 2 Pm 2.52

# 8
Below is TbPmY2N4 after structural relaxation, with properties calculated at the PBE level.

Total magnetization: 0.00 μB per cell
ΔE_f (raw): -1.61 eV/atom
N(E_F): 0.22 states/eV/f.u.
Total DFT energy (no corrections): -8.5629 eV per atom

a = 6.0936 Å, b = 3.5191 Å, c = 6.0938 Å
α = 90.00°, β = 109.44°, γ = 90.00°
Closest atoms and distances in Å follow each position.
Element x y z (fractional)
Tb 0.0000 0.0000 0.0000  6 N 2.49
Pm 0.5000 0.5000 0.0000  6 N 2.51
Y 0.0000 0.5000 0.5000  6 N 2.46
Y 0.5000 0.0000 0.5000  6 N 2.49
N 0.2451 0.0000 0.7446  3 Y 2.46-2.49, 1 Tb 2.49, 2 Pm 2.51
N 0.2477 0.5000 0.2528  3 Y 2.46-2.49, 2 Tb 2.49, 1 Pm 2.51
N 0.7523 0.5000 0.7472  3 Y 2.46-2.49, 2 Tb 2.49, 1 Pm 2.51
N 0.7549 0.0000 0.2554  3 Y 2.46-2.49, 1 Tb 2.49, 2 Pm 2.51

# 9
Below is Pm2TcN after structural relaxation, with properties calculated at the PBE level.

ΔE to the lowest computed polymorph: 0 meV per atom
Total magnetization: 1.06 μB per cell
ΔE_f (raw): 0.01 eV/atom
N(E_F): 2.96 states/eV/f.u.
Total DFT energy (no corrections): -7.0341 eV per atom

a = 3.1809 Å, b = 3.1809 Å, c = 7.3378 Å
α = 90.00°, β = 90.00°, γ = 90.00°
Closest atoms and distances in Å follow each position.
Element x y z (fractional)
Pm 0.0000 0.0000 0.2020  4 N 2.69, 1 Pm 2.96
Pm 0.0000 0.0000 0.7980  4 N 2.69, 1 Pm 2.96
Tc 0.5000 0.5000 0.5000  8 Pm 3.14, 4 Tc 3.18
N 0.5000 0.5000 0.0000  8 Pm 2.69

# 10
Below is Pm3Tc5N12 after structural relaxation, with properties calculated at the PBE level.

Total magnetization: 0.00 μB per cell
ΔE_f (raw): -0.44 eV/atom
N(E_F): 8.20 states/eV/f.u.
Total DFT energy (no corrections): -8.7373 eV per atom

a = 11.1222 Å, b = 11.1222 Å, c = 11.1222 Å
α = 109.47°, β = 109.47°, γ = 109.47°
Closest atoms and distances in Å follow each position.
Element x y z (fractional)
Pm 0.1250 0.2500 0.3750  8 N 2.50-2.66
Pm 0.1250 0.3750 0.7500  8 N 2.50-2.66
Pm 0.2500 0.3750 0.1250  8 N 2.50-2.66
Pm 0.2500 0.8750 0.6250  8 N 2.50-2.66
Pm 0.3750 0.1250 0.2500  8 N 2.50-2.66
Pm 0.3750 0.7500 0.1250  8 N 2.50-2.66
Pm 0.6250 0.2500 0.8750  8 N 2.50-2.66
Pm 0.6250 0.8750 0.7500  8 N 2.50-2.66
Pm 0.7500 0.1250 0.3750  8 N 2.50-2.66
Pm 0.7500 0.6250 0.8750  8 N 2.50-2.66
Pm 0.8750 0.6250 0.2500  8 N 2.50-2.66
Pm 0.8750 0.7500 0.6250  8 N 2.50-2.66
Tc 0.0000 0.0000 0.0000  6 N 2.05
Tc 0.0000 0.0000 0.5000  6 N 2.05
Tc 0.0000 0.5000 0.0000  6 N 2.05
Tc 0.0000 0.5000 0.5000  6 N 2.05
Tc 0.1250 0.7500 0.8750  4 N 1.85
Tc 0.1250 0.8750 0.2500  4 N 1.85
Tc 0.2500 0.1250 0.8750  4 N 1.85
Tc 0.2500 0.6250 0.3750  4 N 1.85
Tc 0.3750 0.2500 0.6250  4 N 1.85
Tc 0.3750 0.6250 0.7500  4 N 1.85
Tc 0.5000 0.0000 0.0000  6 N 2.05
Tc 0.5000 0.0000 0.5000  6 N 2.05
Tc 0.5000 0.5000 0.0000  6 N 2.05
Tc 0.5000 0.5000 0.5000  6 N 2.05
Tc 0.6250 0.3750 0.2500  4 N 1.85
Tc 0.6250 0.7500 0.3750  4 N 1.85
Tc 0.7500 0.3750 0.6250  4 N 1.85
Tc 0.7500 0.8750 0.1250  4 N 1.85
Tc 0.8750 0.1250 0.7500  4 N 1.85
Tc 0.8750 0.2500 0.1250  4 N 1.85
N 0.0127 0.1958 0.1142  2 Tc 1.85-2.05
N 0.0127 0.3169 0.8985  2 Tc 1.85-2.05
N 0.0816 0.6958 0.6831  2 Tc 1.85-2.05
N 0.0816 0.8858 0.3985  2 Tc 1.85-2.05
N 0.1015 0.6142 0.4184  2 Tc 1.85-2.05
N 0.1015 0.9873 0.6831  2 Tc 1.85-2.05
N 0.1142 0.0127 0.1958  2 Tc 1.85-2.05
N 0.1142 0.6015 0.9184  2 Tc 1.85-2.05
N 0.1831 0.1958 0.5816  2 Tc 1.85-2.05
N 0.1831 0.4873 0.6015  2 Tc 1.85-2.05
N 0.1958 0.1142 0.0127  2 Tc 1.85-2.05
N 0.1958 0.5816 0.1831  2 Tc 1.85-2.05
N 0.3042 0.3169 0.9184  2 Tc 1.85-2.05
N 0.3042 0.4873 0.3858  2 Tc 1.85-2.05
N 0.3169 0.8985 0.0127  2 Tc 1.85-2.05
N 0.3169 0.9184 0.3042  2 Tc 1.85-2.05
N 0.3858 0.3042 0.4873  2 Tc 1.85-2.05
N 0.3858 0.5816 0.8985  2 Tc 1.85-2.05
N 0.3985 0.0816 0.8858  2 Tc 1.85-2.05
N 0.3985 0.8169 0.5127  2 Tc 1.85-2.05
N 0.4184 0.1015 0.6142  2 Tc 1.85-2.05
N 0.4184 0.8169 0.8042  2 Tc 1.85-2.05
N 0.4873 0.3858 0.3042  2 Tc 1.85-2.05
N 0.4873 0.6015 0.1831  2 Tc 1.85-2.05
N 0.5127 0.3985 0.8169  2 Tc 1.85-2.05
N 0.5127 0.6142 0.6958  2 Tc 1.85-2.05
N 0.5816 0.1831 0.1958  2 Tc 1.85-2.05
N 0.5816 0.8985 0.3858  2 Tc 1.85-2.05
N 0.6015 0.1831 0.4873  2 Tc 1.85-2.05
N 0.6015 0.9184 0.1142  2 Tc 1.85-2.05
N 0.6142 0.4184 0.1015  2 Tc 1.85-2.05
N 0.6142 0.6958 0.5127  2 Tc 1.85-2.05
N 0.6831 0.0816 0.6958  2 Tc 1.85-2.05
N 0.6831 0.1015 0.9873  2 Tc 1.85-2.05
N 0.6958 0.5127 0.6142  2 Tc 1.85-2.05
N 0.6958 0.6831 0.0816  2 Tc 1.85-2.05
N 0.8042 0.4184 0.8169  2 Tc 1.85-2.05
N 0.8042 0.8858 0.9873  2 Tc 1.85-2.05
N 0.8169 0.5127 0.3985  2 Tc 1.85-2.05
N 0.8169 0.8042 0.4184  2 Tc 1.85-2.05
N 0.8858 0.3985 0.0816  2 Tc 1.85-2.05
N 0.8858 0.9873 0.8042  2 Tc 1.85-2.05
N 0.8985 0.0127 0.3169  2 Tc 1.85-2.05
N 0.8985 0.3858 0.5816  2 Tc 1.85-2.05
N 0.9184 0.1142 0.6015  2 Tc 1.85-2.05
N 0.9184 0.3042 0.3169  2 Tc 1.85-2.05
N 0.9873 0.6831 0.1015  2 Tc 1.85-2.05
N 0.9873 0.8042 0.8858  2 Tc 1.85-2.05